The following is a PBE calculation of a geometry-optimized RbHoSn2Cl8 structure, from Alexandria via LeMat-Bulk.

Structure (POSCAR):
```
RbHoSn2Cl8
1.0
6.917 0.123 0.249
0.172 6.469 0.096
0.330 0.145 9.129
Rb Ho Sn Cl
1 1 2 8
Direct
0.000 0.000 0.500 Rb
0.000 0.000 0.000 Ho
0.481 0.488 0.753 Sn
0.519 0.512 0.247 Sn
0.176 0.782 0.202 Cl
0.689 0.767 0.039 Cl
0.863 0.253 0.209 Cl
0.824 0.218 0.798 Cl
0.311 0.233 0.961 Cl
0.137 0.747 0.791 Cl
0.627 0.723 0.455 Cl
0.373 0.277 0.545 Cl
```

Results
DOS(E_F), states/eV per cell: 0.0
E_form (uncorrected), eV/atom: -1.5849
Mass density, g/cm3: 3.142
M_tot, Bohr magnetons per cell: 0.0
Calculated volume, Å³/cell: 407.7